# PBE Ce2Dy2In, relaxed
data_Ce2Dy2In
_chemical_formula_sum 'Ce4 Dy4 In2'
_cell_length_a 3.8189
_cell_length_b 3.8189
_cell_length_c 20.4507
_cell_angle_alpha 90.00
_cell_angle_beta 90.00
_cell_angle_gamma 90.00
_space_group_name_H-M_alt 'I 4/m m m'
_space_group_IT_number 139
_space_group_name_Hall '-I 4 2'
loop_
_atom_site_label
_atom_site_fract_x
_atom_site_fract_y
_atom_site_fract_z
_atom_site_occupancy
Ce1 0.0000 0.5000 0.2500 1
Dy1 0.0000 0.0000 0.0920 1
In1 0.0000 0.0000 0.5000 1
# Volume, Å³/f.u.: 149.1
# Formation enthalpy at 0 K, eV/atom: 0.189
# N(E_F), states/eV per cell: 16.18